Computed, not measured: Mg2ScPd2 after structural relaxation at the PBE level of DFT.

Output
- Space-group type: I4/mmm
- Excess energy over the best structure of this formula in the dataset: 0.144 eV per atom
- Energy of formation: -2.45 eV/f.u.

The structure in POSCAR format:
```
Mg2ScPd2
1.0
3.893 0.000 0.000
0.000 3.893 0.000
1.946 1.946 6.318
Pd Sc Mg
2 1 2
Direct
0.396 0.396 0.208 Pd
0.604 0.604 0.792 Pd
0.000 0.000 0.000 Sc
0.250 0.750 0.500 Mg
0.750 0.250 0.500 Mg
```

Computed, not measured: Ac5PtPb2O after structural relaxation at the PBE level of DFT.

Output
- Space-group type: Cmc2_1
- Formation energy without anion corrections: -1.1216 eV/atom

The structure in POSCAR format:
```
Ac5PtPb2O
1.0
-0.046 2.090 4.094
3.987 -9.449 2.287
12.338 4.663 -2.242
Ac O Pb Pt
10 2 4 2
Direct
0.283 0.566 0.671 Ac
0.350 0.700 0.002 Ac
0.950 0.901 0.521 Ac
0.717 0.434 0.171 Ac
0.500 0.000 0.787 Ac
0.050 0.099 0.021 Ac
0.681 0.362 0.877 Ac
0.650 0.300 0.502 Ac
0.319 0.638 0.377 Ac
0.500 0.000 0.287 Ac
0.444 0.889 0.446 O
0.556 0.111 0.946 O
0.878 0.756 0.808 Pb
0.122 0.244 0.308 Pb
0.894 0.788 0.189 Pb
0.106 0.212 0.689 Pb
0.797 0.595 0.523 Pt
0.203 0.405 0.023 Pt
```

Computed, not measured: AlSb2Pd2 after structural relaxation at the PBE level of DFT.

Output
- Space-group type: I4/mmm
- Formation energy without anion corrections: -0.0581 eV/atom
- Excess energy over the best structure of this formula in the dataset: 0.175 eV per atom

The structure in POSCAR format:
```
AlSb2Pd2
1.0
-2.969 -2.688 -0.037
0.654 -0.669 -3.894
3.298 -6.621 -0.367
Sb Al Pd
2 1 2
Direct
0.385 0.385 0.231 Sb
0.615 0.615 0.769 Sb
0.000 0.000 0.000 Al
0.250 0.750 0.500 Pd
0.750 0.250 0.500 Pd
```

Computed, not measured: SrCdW after structural relaxation at the PBE level of DFT.

Output
- Space-group type: P3m1
- Excess energy over the best structure of this formula in the dataset: 0.153 eV per atom
- Energy of formation: 2.87 eV/f.u.

The structure in POSCAR format:
```
SrCdW
1.0
3.090 0.000 0.000
-1.545 2.676 0.000
0.000 0.000 8.196
Cd W Sr
1 1 1
Direct
0.000 0.000 0.973 Cd
0.333 0.667 0.678 W
0.667 0.333 0.349 Sr
```

Computed, not measured: Rb3U3BeS8 after structural relaxation at the PBE level of DFT.

Output
- Space-group type: C2/m
- Formation energy without anion corrections: -1.2202 eV/atom

The structure in POSCAR format:
```
Rb3U3BeS8
1.0
-7.020 -2.293 -3.863
7.041 -1.015 -3.201
-1.704 -5.681 6.467
U S Rb Be
3 8 3 1
Direct
0.500 0.500 0.500 U
0.500 0.000 0.500 U
0.000 0.500 0.500 U
0.697 0.947 0.701 S
0.303 0.053 0.299 S
0.267 0.533 0.306 S
0.250 0.947 0.701 S
0.175 0.349 0.646 S
0.733 0.467 0.694 S
0.750 0.053 0.299 S
0.825 0.651 0.354 S
0.000 0.500 0.000 Rb
0.000 0.000 0.000 Rb
0.500 0.500 0.000 Rb
0.000 0.000 0.500 Be
```

Computed, not measured: Tb8Cd2Hg after structural relaxation at the PBE level of DFT.

Output
- Space-group type: C2/m
- Excess energy over the best structure of this formula in the dataset: 0.041 eV per atom
- Energy of formation: -1.60 eV/f.u.

The structure in POSCAR format:
```
Tb8Cd2Hg
1.0
5.250 0.000 0.000
0.000 7.133 0.177
-2.625 -2.843 8.595
Tb Cd Hg
8 2 1
Direct
0.197 0.299 0.393 Tb
0.022 0.763 0.044 Tb
0.335 0.037 0.670 Tb
0.408 0.541 0.816 Tb
0.978 0.237 0.956 Tb
0.665 0.963 0.330 Tb
0.803 0.701 0.607 Tb
0.592 0.459 0.184 Tb
0.186 0.712 0.371 Cd
0.814 0.288 0.629 Cd
0.500 0.000 0.000 Hg
```

Computed, not measured: LaTe2RuI after structural relaxation at the PBE level of DFT.

Output
- Space-group type: P4/mmm
- Formation energy without anion corrections: -0.3315 eV/atom
- Excess energy over the best structure of this formula in the dataset: 0.000 eV per atom

The structure in POSCAR format:
```
LaTe2RuI
1.0
-3.004 -0.899 4.253
0.525 -5.206 -0.729
4.337 0.008 3.065
Ru Te I La
1 2 1 1
Direct
0.000 0.000 0.000 Ru
0.500 0.000 0.000 Te
0.000 0.500 0.000 Te
0.000 0.000 0.500 I
0.500 0.500 0.500 La
```

Computed, not measured: CrGe3Cl after structural relaxation at the PBE level of DFT.

Output
- Space-group type: Pm-3m
- Formation energy without anion corrections: 0.9785 eV/atom
- Excess energy over the best structure of this formula in the dataset: 0.941 eV per atom

The structure in POSCAR format:
```
CrGe3Cl
1.0
4.925 0.000 0.000
0.000 4.925 0.000
0.000 0.000 4.925
Cr Cl Ge
1 1 3
Direct
0.500 0.500 0.500 Cr
0.000 0.000 0.000 Cl
0.000 0.000 0.500 Ge
0.000 0.500 0.000 Ge
0.500 0.000 0.000 Ge
```

In order of appearance, size of the total moment = 0.000, 0.000, 0.000, 0.000, 0.467, 0.000, 0.044, 0.968 μB/atom.